Entry 1:
DFT (PBE) results for a geometry-optimized Th3TiN6 structure.

```
Th3TiN6
1.0
4.723 -5.881 0.000
4.723 5.881 0.000
0.000 0.000 5.723
Th Ti N
6 2 12
Direct
0.107 0.893 0.500 Th
0.194 0.414 0.537 Th
0.414 0.194 0.037 Th
0.586 0.806 0.537 Th
0.806 0.586 0.037 Th
0.893 0.107 0.000 Th
0.310 0.690 0.068 Ti
0.690 0.310 0.568 Ti
0.090 0.609 0.239 N
0.150 0.168 0.276 N
0.168 0.150 0.776 N
0.283 0.717 0.727 N
0.391 0.910 0.239 N
0.462 0.538 0.192 N
0.538 0.462 0.692 N
0.609 0.090 0.739 N
0.717 0.283 0.227 N
0.832 0.850 0.276 N
0.850 0.832 0.776 N
0.910 0.391 0.739 N
```

## Properties
- total DFT energy (no corrections) (eV/atom) = -9.307
- calculated volume (Å³/f.u.) = 158.9
- formation energy (no corrections) (eV per atom) = -1.30
- space group = Cmc2_1, No. 36
- Fermi-level density of states (states/eV per cell) = 17.258

---

Entry 2:
DFT (PBE) results for a geometry-optimized Cu2MoPb structure.

```
Cu2MoPb
1.0
3.063 0.000 0.000
0.000 3.063 0.000
0.000 0.000 7.132
Cu Mo Pb
2 1 1
Direct
0.000 0.000 0.000 Cu
0.500 0.500 0.177 Cu
0.000 0.000 0.390 Mo
0.500 0.500 0.702 Pb
```

## Properties
- total DFT energy (no corrections) (eV/atom) = -5.213
- energy of formation from the pure elements (meV per atom) = 469
- calculated volume (Å³/f.u.) = 66.9
- space group = P4mm, No. 99
- Fermi-level density of states (states/eV per cell) = 1.735

---

Question: Number 2 is which compound?
Answer: Cu2MoPb